# 1
Compound: Li2AlCo
Source: the Alexandria database
Functional: PBEsol
Structure: relaxed

Calculated values
SG: R-3m
formation enthalpy at 0 K: 0.149 eV/atom
D(E_F): 0.4960 states/eV/atom
total moment: 1.34 μB per cell

Unit cell a=9.1431 b=9.1431 c=9.1431 alpha=16.45 beta=16.45 gamma=16.45
Element x y z (fractional)
Li (0.2441, 0.2441, 0.2441)
Li (0.7559, 0.7559, 0.7559)
Al (0.0000, 0.0000, 0.0000)
Co (0.5000, 0.5000, 0.5000)


# 2
Compound: LiAlCoO3
Source: the Alexandria database
Functional: PBEsol
Structure: relaxed

Calculated values
SG: P-1
D(E_F): 0.3188 states/eV/atom
total moment: 6.00 μB per cell
ΔE_f (raw): -1950 meV/atom

Unit cell a=5.2227 b=5.2450 c=5.2515 alpha=67.57 beta=65.88 gamma=68.41
Element x y z (fractional)
Li (0.0736, 0.4204, 0.2453)
Li (0.9264, 0.5796, 0.7547)
Al (0.2410, 0.9207, 0.0829)
Al (0.7590, 0.0793, 0.9171)
Co (0.4475, 0.7222, 0.5729)
Co (0.5525, 0.2778, 0.4271)
O (0.0785, 0.7830, 0.9110)
O (0.2430, 0.6132, 0.3881)
O (0.4256, 0.0772, 0.2256)
O (0.5744, 0.9228, 0.7744)
O (0.7570, 0.3868, 0.6119)
O (0.9215, 0.2170, 0.0890)


# 3
Compound: Li3AlCoO4
Source: the Alexandria database
Functional: PBEsol
Structure: relaxed

Calculated values
SG: I4_1/a
D(E_F): 0.8479 states/eV/atom
total moment: 8.00 μB per cell
ΔE_f (raw): -1955 meV/atom

Unit cell a=9.8981 b=9.8981 c=9.8981 alpha=119.35 beta=119.35 gamma=91.14
Element x y z (fractional)
Li (0.0369, 0.4522, 0.8804)
Li (0.0478, 0.4283, 0.5848)
Li (0.0712, 0.1929, 0.9087)
Li (0.0717, 0.1565, 0.6196)
Li (0.1472, 0.0676, 0.0804)
Li (0.2158, 0.8374, 0.4087)
Li (0.3071, 0.7158, 0.8784)
Li (0.3374, 0.4288, 0.6216)
Li (0.3435, 0.4631, 0.9152)
Li (0.4324, 0.0127, 0.0796)
Li (0.4331, 0.3528, 0.4204)
Li (0.4873, 0.0669, 0.4196)
Li (0.5127, 0.9331, 0.5804)
Li (0.5669, 0.6472, 0.5796)
Li (0.5676, 0.9873, 0.9204)
Li (0.6565, 0.5369, 0.0848)
Li (0.6626, 0.5712, 0.3784)
Li (0.6929, 0.2842, 0.1216)
Li (0.7842, 0.1626, 0.5913)
Li (0.8528, 0.9324, 0.9196)
Li (0.9283, 0.8435, 0.3804)
Li (0.9288, 0.8071, 0.0913)
Li (0.9522, 0.5717, 0.4152)
Li (0.9631, 0.5478, 0.1196)
Al (0.1919, 0.7624, 0.0675)
Al (0.1949, 0.1244, 0.4325)
Al (0.2624, 0.6949, 0.5705)
Al (0.3756, 0.3081, 0.0705)
Al (0.6244, 0.6919, 0.9295)
Al (0.7376, 0.3051, 0.4295)
Al (0.8051, 0.8756, 0.5675)
Al (0.8081, 0.2376, 0.9325)
Co (0.0634, 0.3220, 0.2611)
Co (0.1780, 0.9391, 0.7413)
Co (0.3022, 0.5634, 0.2413)
Co (0.4391, 0.1978, 0.7611)
Co (0.5609, 0.8022, 0.2389)
Co (0.6978, 0.4366, 0.7587)
Co (0.8220, 0.0609, 0.2587)
Co (0.9366, 0.6780, 0.7389)
O (0.0068, 0.9892, 0.3388)
O (0.0401, 0.8531, 0.0004)
O (0.0977, 0.7698, 0.4883)
O (0.1094, 0.5977, 0.8279)
O (0.1505, 0.6680, 0.1612)
O (0.1680, 0.5068, 0.5175)
O (0.2185, 0.3906, 0.9883)
O (0.2240, 0.2274, 0.3408)
O (0.2698, 0.2815, 0.6721)
O (0.2726, 0.1134, 0.9966)
O (0.3527, 0.0398, 0.4996)
O (0.3531, 0.8527, 0.8130)
O (0.3832, 0.7240, 0.4966)
O (0.3866, 0.8832, 0.1592)
O (0.4602, 0.4599, 0.3130)
O (0.4892, 0.6505, 0.9825)
O (0.5108, 0.3495, 0.0175)
O (0.5398, 0.5401, 0.6870)
O (0.6134, 0.1168, 0.8408)
O (0.6168, 0.2760, 0.5034)
O (0.6469, 0.1473, 0.1870)
O (0.6473, 0.9602, 0.5004)
O (0.7274, 0.8866, 0.0034)
O (0.7302, 0.7185, 0.3279)
O (0.7760, 0.7726, 0.6592)
O (0.7815, 0.6094, 0.0117)
O (0.8320, 0.4932, 0.4825)
O (0.8495, 0.3320, 0.8388)
O (0.8906, 0.4023, 0.1721)
O (0.9023, 0.2302, 0.5117)
O (0.9599, 0.1469, 0.9996)
O (0.9932, 0.0108, 0.6612)


# 4
Compound: LiAlCo2P
Source: the Alexandria database
Functional: PBEsol
Structure: relaxed

Calculated values
SG: P4/mmm
formation enthalpy at 0 K: 0.047 eV/atom
D(E_F): 0.5474 states/eV/atom
total moment: 0.96 μB per cell

Unit cell a=4.0649 b=4.0649 c=4.1210 alpha=90.00 beta=90.00 gamma=90.00
Element x y z (fractional)
Li (0.0000, 0.0000, 0.0000)
Al (0.5000, 0.5000, 0.0000)
Co (0.0000, 0.5000, 0.5000)
Co (0.5000, 0.0000, 0.5000)
P (0.0000, 0.0000, 0.5000)


# 5
Compound: Lu2Al3Co
Source: the Alexandria database
Functional: PBEsol
Structure: relaxed

Calculated values
SG: P6_3/mmc
formation enthalpy at 0 K: -0.509 eV/atom
D(E_F): 0.5356 states/eV/atom
total moment: 0.00 μB per cell

Unit cell a=5.3681 b=5.3681 c=8.3553 alpha=90.00 beta=90.00 gamma=120.00
Element x y z (fractional)
Lu (0.3333, 0.6667, 0.0555)
Lu (0.3333, 0.6667, 0.4445)
Lu (0.6667, 0.3333, 0.5555)
Lu (0.6667, 0.3333, 0.9445)
Al (0.1627, 0.3253, 0.7500)
Al (0.1627, 0.8373, 0.7500)
Al (0.3253, 0.1627, 0.2500)
Al (0.6747, 0.8373, 0.7500)
Al (0.8373, 0.1627, 0.2500)
Al (0.8373, 0.6747, 0.2500)
Co (0.0000, 0.0000, 0.0000)
Co (0.0000, 0.0000, 0.5000)


# 6
Compound: MgAlCo3
Source: the Alexandria database
Functional: PBEsol
Structure: relaxed

Calculated values
SG: Pm-3m
formation enthalpy at 0 K: 1.375 eV/atom
D(E_F): 1.6656 states/eV/atom
total moment: 3.09 μB per cell

Unit cell a=4.1939 b=4.1939 c=4.1939 alpha=90.00 beta=90.00 gamma=90.00
Element x y z (fractional)
Mg (0.0000, 0.0000, 0.0000)
Al (0.5000, 0.5000, 0.5000)
Co (0.0000, 0.0000, 0.5000)
Co (0.0000, 0.5000, 0.0000)
Co (0.5000, 0.0000, 0.0000)